A plane-wave DFT calculation with GGA-PBE was carried out for a geometry-optimized LaPmDy3Th structure.

Values from the calculation:
- E_form: 0.21 eV/atom
- E_tot: -59.3 eV per cell
- Symmetry: C2/m (12)

Unit cell a=10.3341 b=10.3341 c=7.0978 alpha=90.32 beta=90.32 gamma=31.77
Positions (direct):
La 0.1455 0.1455 0.4545
La 0.8545 0.8545 0.5455
Pm 0.1480 0.1480 0.0340
Pm 0.8520 0.8520 0.9660
Dy 0.0236 0.0236 0.7530
Dy 0.2791 0.2791 0.7480
Dy 0.3428 0.3428 0.2436
Dy 0.6572 0.6572 0.7564
Dy 0.7209 0.7209 0.2520
Dy 0.9764 0.9764 0.2470
Th 0.4469 0.4469 0.7721
Th 0.5531 0.5531 0.2279

***

A plane-wave DFT calculation with GGA-PBE was carried out for a geometry-optimized LaPm4Dy2Th structure.

Values from the calculation:
- E_form: 0.02 eV/atom
- E_tot: -40.4 eV per cell
- Symmetry: P2/m (10)

Unit cell a=6.2845 b=3.6453 c=11.7669 alpha=90.00 beta=90.05 gamma=90.00
Positions (direct):
La 0.0000 0.0000 0.0000
Pm 0.1692 0.5000 0.7465
Pm 0.3359 0.0000 0.2547
Pm 0.6641 0.0000 0.7453
Pm 0.8308 0.5000 0.2535
Dy 0.0000 0.0000 0.5000
Dy 0.5000 0.5000 0.0000
Th 0.5000 0.5000 0.5000

***

A plane-wave DFT calculation with GGA-PBE was carried out for a geometry-optimized LaPmDy2Th structure.

Values from the calculation:
- E_form: 0.05 eV/atom
- E_tot: -52.1 eV per cell
- Symmetry: P2_1/m (11)

Unit cell a=6.2775 b=5.8634 c=9.6686 alpha=90.00 beta=108.88 gamma=90.00
Positions (direct):
La 0.0713 0.2500 0.2930
La 0.9287 0.7500 0.7070
Pm 0.2768 0.2500 0.7044
Pm 0.7232 0.7500 0.2956
Dy 0.3294 0.7500 0.4923
Dy 0.4528 0.2500 0.0966
Dy 0.5472 0.7500 0.9034
Dy 0.6706 0.2500 0.5077
Th 0.1298 0.7500 0.0888
Th 0.8702 0.2500 0.9112

***

A plane-wave DFT calculation with GGA-PBE was carried out for a geometry-optimized La2PmDy4Th structure.

Values from the calculation:
- E_form: 0.03 eV/atom
- E_tot: -40.2 eV per cell
- Symmetry: P2/m (10)

Unit cell a=5.1609 b=5.1642 c=9.9814 alpha=90.00 beta=90.04 gamma=90.00
Positions (direct):
La 0.0000 0.0000 0.0000
La 0.5000 0.5000 0.5000
Pm 0.0000 0.0000 0.5000
Dy 0.0001 0.5000 0.2443
Dy 0.9999 0.5000 0.7557
Dy 0.5000 0.0000 0.2443
Dy 0.5000 0.0000 0.7557
Th 0.5000 0.5000 0.0000

***

A plane-wave DFT calculation with GGA-PBE was carried out for a geometry-optimized LaPm2Dy4Th structure.

Values from the calculation:
- E_form: 0.01 eV/atom
- E_tot: -40.2 eV per cell
- Symmetry: P2/m (10)

Unit cell a=6.2689 b=3.6160 c=11.5773 alpha=90.00 beta=90.05 gamma=90.00
Positions (direct):
La 0.0000 0.0000 0.0000
Pm 0.0000 0.0000 0.5000
Pm 0.5000 0.5000 0.0000
Dy 0.1708 0.5000 0.2526
Dy 0.3365 0.0000 0.7442
Dy 0.6635 0.0000 0.2558
Dy 0.8292 0.5000 0.7474
Th 0.5000 0.5000 0.5000

***

A plane-wave DFT calculation with GGA-PBE was carried out for a geometry-optimized LaPm2DyTh structure.

Values from the calculation:
- E_form: 0.30 eV/atom
- E_tot: -49.9 eV per cell
- Symmetry: P2/c (13)

Unit cell a=8.6800 b=6.4752 c=6.4392 alpha=90.00 beta=98.88 gamma=90.00
Positions (direct):
La 0.0000 0.0000 0.0000
La 0.0000 0.0000 0.5000
Pm 0.3155 0.3148 0.1999
Pm 0.3155 0.6852 0.6999
Pm 0.6845 0.3148 0.3001
Pm 0.6845 0.6852 0.8001
Dy 0.5000 0.1699 0.7500
Dy 0.5000 0.8301 0.2500
Th 0.0000 0.4536 0.7500
Th 0.0000 0.5464 0.2500

***

A plane-wave DFT calculation with GGA-PBE was carried out for a geometry-optimized La5PmDy2Th structure.

Values from the calculation:
- E_form: 0.13 eV/atom
- E_tot: -89.7 eV per cell
- Symmetry: Cmc2_1 (36)

Unit cell a=11.2948 b=11.2948 c=10.6767 alpha=90.00 beta=90.00 gamma=151.66
Positions (direct):
La 0.0001 0.9999 0.0000
La 0.9999 0.0001 0.5000
La 0.1273 0.8727 0.7503
La 0.2231 0.7769 0.4428
La 0.2236 0.7764 0.0585
La 0.4971 0.5029 0.2499
La 0.5029 0.4971 0.7499
La 0.7764 0.2236 0.5585
La 0.7769 0.2231 0.9428
La 0.8727 0.1273 0.2503
Pm 0.1016 0.8984 0.2500
Pm 0.8984 0.1016 0.7500
Dy 0.3872 0.6128 0.5079
Dy 0.3876 0.6124 0.9922
Dy 0.6124 0.3876 0.4922
Dy 0.6128 0.3872 0.0079
Th 0.2856 0.7144 0.7506
Th 0.7144 0.2856 0.2506

***

A plane-wave DFT calculation with GGA-PBE was carried out for a geometry-optimized LaPmDy2Tl4 structure.

Values from the calculation:
- E_form: -0.37 eV/atom
- E_tot: -31.3 eV per cell
- Symmetry: R-3m (166)

Unit cell a=9.4855 b=9.4855 c=9.4855 alpha=33.48 beta=33.48 gamma=33.48
Positions (direct):
La 0.0000 0.0000 0.0000
Pm 0.5000 0.5000 0.5000
Dy 0.2497 0.2497 0.2497
Dy 0.7503 0.7503 0.7503
Tl 0.1261 0.1261 0.1261
Tl 0.3762 0.3762 0.3762
Tl 0.6238 0.6238 0.6238
Tl 0.8739 0.8739 0.8739

***

A plane-wave DFT calculation with GGA-PBE was carried out for a geometry-optimized LaPm2DyTl2 structure.

Values from the calculation:
- E_form: -0.27 eV/atom
- E_tot: -50.8 eV per cell
- Symmetry: Pmc2_1 (26)

Unit cell a=5.2484 b=10.2798 c=6.9231 alpha=90.00 beta=90.00 gamma=90.00
Positions (direct):
La 0.0000 0.0441 0.0000
La 0.0000 0.9559 0.5000
Pm 0.0000 0.3186 0.3755
Pm 0.0000 0.6814 0.8755
Pm 0.5000 0.4539 0.0974
Pm 0.5000 0.5461 0.5974
Dy 0.5000 0.1920 0.7236
Dy 0.5000 0.8080 0.2236
Tl 0.0000 0.3616 0.8406
Tl 0.0000 0.6384 0.3406
Tl 0.5000 0.1329 0.2666
Tl 0.5000 0.8671 0.7666

***

A plane-wave DFT calculation with GGA-PBE was carried out for a geometry-optimized La2Pm7DyTl2 structure.

Values from the calculation:
- E_form: -0.03 eV/atom
- E_tot: -52.8 eV per cell
- Symmetry: Cmmm (65)

Unit cell a=4.9336 b=4.9336 c=16.1817 alpha=90.00 beta=90.00 gamma=90.96
Positions (direct):
La 0.0000 0.0000 0.1671
La 0.0000 0.0000 0.8329
Pm 0.0000 0.0000 0.5000
Pm 0.0000 0.5000 0.3346
Pm 0.0000 0.5000 0.6654
Pm 0.2758 0.7242 0.0000
Pm 0.5000 0.0000 0.3346
Pm 0.5000 0.0000 0.6654
Pm 0.7242 0.2758 0.0000
Dy 0.5000 0.5000 0.5000
Tl 0.5000 0.5000 0.1818
Tl 0.5000 0.5000 0.8182

***

A plane-wave DFT calculation with GGA-PBE was carried out for a geometry-optimized La2PmDyTm structure.

Values from the calculation:
- E_form: 0.33 eV/atom
- E_tot: -44.0 eV per cell
- Symmetry: Cmcm (63)

Unit cell a=7.2982 b=7.2982 c=6.8762 alpha=90.00 beta=90.00 gamma=80.91
Positions (direct):
La 0.2504 0.2504 0.0000
La 0.2504 0.2504 0.5000
La 0.7496 0.7496 0.0000
La 0.7496 0.7496 0.5000
Pm 0.0992 0.9008 0.7500
Pm 0.9008 0.0992 0.2500
Dy 0.4093 0.5907 0.7500
Dy 0.5907 0.4093 0.2500
Tm 0.2513 0.7487 0.2500
Tm 0.7487 0.2513 0.7500

***

A plane-wave DFT calculation with GGA-PBE was carried out for a geometry-optimized LaPmDyTm structure.

Values from the calculation:
- Relative energy among the computed polymorphs: 0.003 eV/atom
- E_form: 0.10 eV/atom
- E_tot: -18.3 eV per cell
- Symmetry: Cm (8)

Unit cell a=6.9001 b=6.9001 c=3.8179 alpha=105.60 beta=105.60 gamma=50.60
Positions (direct):
La 0.0000 0.0000 0.0000
Pm 0.7328 0.7328 0.1678
Dy 0.2569 0.2569 0.7021
Tm 0.4923 0.4923 0.4595